# Nd2AlGe

An optimized crystal structure of Nd2AlGe (GGA-PBE, Alexandria via LeMat-Bulk).

a b c (Å): 3.549 3.549 32.164
angles (deg): 90.00 90.00 120.00
Positions (direct):
Nd  0.000  0.000  0.093
Nd  0.000  0.000  0.907
Nd  0.333  0.667  0.573
Nd  0.333  0.667  0.760
Nd  0.667  0.333  0.240
Nd  0.667  0.333  0.427
Al  0.000  0.000  0.500
Al  0.333  0.667  0.167
Al  0.667  0.333  0.833
Ge  0.000  0.000  0.000
Ge  0.333  0.667  0.667
Ge  0.667  0.333  0.333

Values from the calculation:
Spin magnetization ... 0.000 μB/f.u.
Energy of formation from the pure elements ... 8.0 kJ per mole of atoms
Space group ... R-3m (166)
Calculated density ... 5512 kg/m3